Here is an optimized crystal structure of CdPb3S from Alexandria via LeMat-Bulk. Energies are from PBE-GGA.

Results
The value obtained for the uncorrected formation energy is 182.4 meV/atom. Its calculated total energy is -15.255 eV per formula unit. As for the space group: Pm-3m, No. 221. Its relative energy among the computed polymorphs is 0.000 eV/atom.

Cell: 5.541 5.541 5.541 Å, 90.00 90.00 90.00°
Sites, in units of the cell vectors:
Pb: 0.500 0.000 0.000
Pb: 0.000 0.000 0.500
Pb: 0.000 0.500 0.000
Cd: 0.500 0.500 0.500
S: 0.000 0.000 0.000

---

Here is an optimized crystal structure of CdPb3S from Alexandria via LeMat-Bulk. Energies are from PBE-GGA.

Results
The value obtained for the uncorrected formation energy is 579.6 meV/atom. Its calculated total energy is -13.270 eV per formula unit. As for the space group: Pm-3m, No. 221. Its relative energy among the computed polymorphs is 0.397 eV/atom.

Cell: 5.609 5.609 5.609 Å, 90.00 90.00 90.00°
Sites, in units of the cell vectors:
Pb: 0.000 0.500 0.000
Pb: 0.500 0.000 0.000
Pb: 0.000 0.000 0.500
Cd: 0.000 0.000 0.000
S: 0.500 0.500 0.500

---

Here is an optimized crystal structure of CdPb2S from Alexandria via LeMat-Bulk. Energies are from PBE-GGA.

Results
The value obtained for the uncorrected formation energy is 80.1 meV/atom. Its calculated total energy is -12.139 eV per formula unit. As for the space group: Fm-3m, No. 225. Its relative energy among the computed polymorphs is 0.087 eV/atom.

Cell: 5.284 5.284 5.284 Å, 60.00 60.00 60.00°
Sites, in units of the cell vectors:
Pb: 0.750 0.750 0.750
Pb: 0.250 0.250 0.250
Cd: 0.500 0.500 0.500
S: 0.000 0.000 0.000